1.
Density functional theory data (PBE) for a relaxed structure of Np2Ga3Ni. Values from VASP.

Geometry as Quantum ESPRESSO input:
```
&SYSTEM
  ibrav = 0, nat = 12, ntyp = 3
/
ATOMIC_SPECIES
Np 237.00 Np.upf
Ga 69.72 Ga.upf
Ni 58.69 Ni.upf
CELL_PARAMETERS angstrom
5.5588 0.0000 0.0000
-2.7794 4.8140 0.0000
0.0000 0.0000 7.9401
ATOMIC_POSITIONS angstrom
Np 0.0000 3.2094 0.7025
Np 0.0000 3.2094 3.2676
Np 2.7794 1.6047 4.6726
Np 2.7794 1.6047 7.2376
Ga 0.0000 1.5919 5.9551
Ga -1.4007 4.0181 5.9551
Ga 1.3787 0.7960 1.9850
Ga 1.4007 4.0181 5.9551
Ga 4.1801 0.7960 1.9850
Ga 2.7794 3.2221 1.9850
Ni 0.0000 0.0000 0.0000
Ni 0.0000 0.0000 3.9701
```

Energy relative to the elements: -1.402 eV/f.u.
Total magnetization: 6.88 μB per formula unit
Total energy: -0.5163 Ry/atom
Crystal system: hexagonal



2.
Density functional theory data (PBE) for a relaxed structure of Na4LiSb3Se8. Values from VASP.

Geometry as Quantum ESPRESSO input:
```
&SYSTEM
  ibrav = 0, nat = 16, ntyp = 4
/
ATOMIC_SPECIES
Na 22.99 Na.upf
Li 6.94 Li.upf
Sb 121.76 Sb.upf
Se 78.96 Se.upf
CELL_PARAMETERS angstrom
4.0397 2.3323 7.0959
-4.0397 2.3323 7.0959
0.0000 -4.6646 7.0959
ATOMIC_POSITIONS angstrom
Na 0.0000 0.0000 0.0000
Na -2.0198 -1.1662 7.0959
Na -2.0198 1.1661 14.1918
Na 0.0000 2.3323 7.0959
Li 0.0000 0.0000 10.6439
Sb -4.0397 0.0000 10.6438
Sb -2.0198 1.1661 3.5479
Sb 2.0198 1.1662 3.5480
Se 0.0000 0.0000 5.2070
Se -1.9906 -1.1493 12.2198
Se 0.0000 -2.2985 9.0679
Se -1.9906 1.1493 9.0679
Se 1.9906 -1.1493 12.2198
Se 0.0000 2.2985 12.2198
Se 1.9906 1.1493 9.0679
Se 0.0000 0.0000 16.0807
```

Formation energy without anion corrections: -0.66 eV/atom
Total magnetization: 0.00 μB per formula unit
Total energy: -0.2662 Ry/atom
Crystal system: trigonal



3.
Density functional theory data (PBE) for a relaxed structure of CeSmHoTm. Values from VASP.

Geometry as Quantum ESPRESSO input:
```
&SYSTEM
  ibrav = 0, nat = 4, ntyp = 4
/
ATOMIC_SPECIES
Ce 140.12 Ce.upf
Sm 150.36 Sm.upf
Ho 164.93 Ho.upf
Tm 168.93 Tm.upf
CELL_PARAMETERS angstrom
0.0000 3.9938 3.9938
3.9938 0.0000 3.9938
3.9938 3.9938 0.0000
ATOMIC_POSITIONS angstrom
Ce 0.0000 0.0000 0.0000
Sm 3.9938 3.9938 3.9938
Ho 5.9907 5.9907 5.9907
Tm 1.9969 1.9969 1.9969
```

Energy relative to the elements: 0.619 eV/f.u.
Total magnetization: 0.74 μB per formula unit
Total energy: -0.3507 Ry/atom
Crystal system: cubic



4.
Density functional theory data (PBE) for a relaxed structure of Nd3Tl2Cd4. Values from VASP.

Geometry as Quantum ESPRESSO input:
```
&SYSTEM
  ibrav = 0, nat = 9, ntyp = 3
/
ATOMIC_SPECIES
Nd 144.24 Nd.upf
Tl 204.38 Tl.upf
Cd 112.41 Cd.upf
CELL_PARAMETERS angstrom
5.6833 -2.5167 0.0000
5.6833 2.5167 0.0000
-4.3957 0.0000 8.4738
ATOMIC_POSITIONS angstrom
Nd 0.0000 0.0000 0.0000
Nd 2.3445 0.0000 2.7923
Nd 4.6263 0.0000 5.6815
Tl 1.2492 0.0000 6.1594
Tl 5.7217 0.0000 2.3144
Cd -0.9807 0.0000 3.4740
Cd -0.9402 0.0000 8.1595
Cd 7.9111 0.0000 0.3143
Cd 7.9516 0.0000 4.9998
```

Excess energy over the best structure of this formula in the dataset: 0.019 eV per atom
Energy relative to the elements: -3.097 eV/f.u.
Total magnetization: 0.00 μB per formula unit
Total energy: -0.2106 Ry/atom
Crystal system: monoclinic



5.
Density functional theory data (PBE) for a relaxed structure of TaHgCl2. Values from VASP.

Geometry as Quantum ESPRESSO input:
```
&SYSTEM
  ibrav = 0, nat = 4, ntyp = 3
/
ATOMIC_SPECIES
Ta 180.95 Ta.upf
Hg 200.59 Hg.upf
Cl 35.45 Cl.upf
CELL_PARAMETERS angstrom
3.0161 0.0000 0.0000
0.0000 4.0903 0.0000
0.0000 0.0000 7.3470
ATOMIC_POSITIONS angstrom
Ta 0.0000 0.0000 0.0000
Hg 1.5081 2.0451 5.0954
Cl 0.0000 0.0000 2.3711
Cl 1.5081 2.0451 0.6543
```

Excess energy over the best structure of this formula in the dataset: 0.532 eV per atom
Formation energy without anion corrections: -0.05 eV/atom
Total magnetization: 0.43 μB per formula unit
Total energy: -0.2946 Ry/atom
Crystal system: orthorhombic



6.
Density functional theory data (PBE) for a relaxed structure of KSbPt2. Values from VASP.

Geometry as Quantum ESPRESSO input:
```
&SYSTEM
  ibrav = 0, nat = 4, ntyp = 3
/
ATOMIC_SPECIES
K 39.10 K.upf
Sb 121.76 Sb.upf
Pt 195.08 Pt.upf
CELL_PARAMETERS angstrom
2.3042 1.3303 5.9351
-2.3042 1.3303 5.9351
0.0000 -2.6606 5.9351
ATOMIC_POSITIONS angstrom
K 0.0000 0.0000 0.0000
Sb 0.0000 0.0000 8.9027
Pt 0.0000 0.0000 3.3877
Pt 0.0000 0.0000 14.4177
```

Excess energy over the best structure of this formula in the dataset: 0.000 eV per atom
Formation energy without anion corrections: -0.34 eV/atom
Total magnetization: 0.00 μB per formula unit
Total energy: -0.3429 Ry/atom
Crystal system: trigonal



7.
Density functional theory data (PBE) for a relaxed structure of Y2Er4Mg5. Values from VASP.

Geometry as Quantum ESPRESSO input:
```
&SYSTEM
  ibrav = 0, nat = 11, ntyp = 3
/
ATOMIC_SPECIES
Y 88.91 Y.upf
Er 167.26 Er.upf
Mg 24.30 Mg.upf
CELL_PARAMETERS angstrom
0.0000 5.0526 11.0258
3.0867 0.0000 11.0258
3.0867 5.0526 0.0000
ATOMIC_POSITIONS angstrom
Y 3.0867 5.0526 2.4639
Y 3.0867 5.0526 19.5878
Er 3.0867 3.3574 8.2517
Er 3.0867 3.3574 13.8000
Er 3.0867 6.7479 8.2517
Er 3.0867 6.7479 13.8000
Mg 1.5433 2.5263 0.0000
Mg 1.5433 2.5263 5.5129
Mg 1.5433 2.5263 11.0258
Mg 3.0867 5.0526 11.0258
Mg 4.6300 7.5789 16.5388
```

Energy relative to the elements: 2.634 eV/f.u.
Total magnetization: 0.00 μB per formula unit
Total energy: -0.2440 Ry/atom
Crystal system: orthorhombic



8.
Density functional theory data (PBE) for a relaxed structure of NdLuAg4. Values from VASP.

Geometry as Quantum ESPRESSO input:
```
&SYSTEM
  ibrav = 0, nat = 6, ntyp = 3
/
ATOMIC_SPECIES
Nd 144.24 Nd.upf
Lu 174.97 Lu.upf
Ag 107.87 Ag.upf
CELL_PARAMETERS angstrom
0.0000 4.0483 4.0483
4.0483 0.0000 4.0483
4.0483 4.0483 0.0000
ATOMIC_POSITIONS angstrom
Nd 0.0000 0.0000 0.0000
Lu 2.0241 2.0241 2.0241
Ag 5.0564 3.0401 3.0401
Ag 3.0401 5.0564 3.0401
Ag 3.0401 3.0401 5.0564
Ag 5.0564 5.0564 5.0564
```

Energy relative to the elements: -0.964 eV/f.u.
Total magnetization: 0.00 μB per formula unit
Total energy: -0.2653 Ry/atom
Crystal system: cubic



9.
Density functional theory data (PBE) for a relaxed structure of TbGdPuSc. Values from VASP.

Geometry as Quantum ESPRESSO input:
```
&SYSTEM
  ibrav = 0, nat = 4, ntyp = 4
/
ATOMIC_SPECIES
Tb 158.93 Tb.upf
Gd 157.25 Gd.upf
Pu 244.00 Pu.upf
Sc 44.96 Sc.upf
CELL_PARAMETERS angstrom
0.0000 3.8563 3.8563
3.8563 0.0000 3.8563
3.8563 3.8563 0.0000
ATOMIC_POSITIONS angstrom
Tb 0.0000 0.0000 0.0000
Gd 3.8563 3.8563 3.8563
Pu 1.9282 1.9282 1.9282
Sc 5.7845 5.7845 5.7845
```

Energy relative to the elements: 0.748 eV/f.u.
Total magnetization: 0.03 μB per formula unit
Total energy: -0.7097 Ry/atom
Crystal system: cubic



10.
Density functional theory data (PBE) for a relaxed structure of Pm2Pr2Dy3. Values from VASP.

Geometry as Quantum ESPRESSO input:
```
&SYSTEM
  ibrav = 0, nat = 14, ntyp = 3
/
ATOMIC_SPECIES
Pm 145.00 Pm.upf
Pr 140.91 Pr.upf
Dy 162.50 Dy.upf
CELL_PARAMETERS angstrom
6.4574 0.0000 0.0000
0.0000 12.6684 0.0000
-3.7645 0.0000 5.8980
ATOMIC_POSITIONS angstrom
Pm -1.0861 1.4324 2.5727
Pm -2.9684 4.9018 5.5217
Pm 5.6613 7.7666 0.3763
Pm 3.7790 11.2360 3.3253
Pr 1.9523 2.6308 1.9849
Pr 0.0700 3.7034 4.9339
Pr 2.6228 8.9650 0.9641
Pr 0.7406 10.0376 3.9130
Dy -1.9141 7.7645 3.8210
Dy -0.0318 11.2380 0.8720
Dy 3.2287 0.0000 0.0000
Dy 1.3464 6.3342 2.9490
Dy 2.7246 1.4303 5.0260
Dy 4.6069 4.9039 2.0770
```

Excess energy over the best structure of this formula in the dataset: 0.028 eV per atom
Energy relative to the elements: 1.094 eV/f.u.
Total magnetization: 0.00 μB per formula unit
Total energy: -0.3336 Ry/atom
Crystal system: monoclinic



11.
Density functional theory data (PBE) for a relaxed structure of Ac5Tl6Cd. Values from VASP.

Geometry as Quantum ESPRESSO input:
```
&SYSTEM
  ibrav = 0, nat = 12, ntyp = 3
/
ATOMIC_SPECIES
Ac 227.00 Ac.upf
Tl 204.38 Tl.upf
Cd 112.41 Cd.upf
CELL_PARAMETERS angstrom
5.6544 0.0000 0.0000
0.0064 8.2378 0.0000
2.8159 4.1164 8.8626
ATOMIC_POSITIONS angstrom
Ac 0.0000 0.0000 0.0000
Ac 2.8330 8.2395 3.1851
Ac 2.8301 4.1222 2.4829
Ac 5.6465 8.2320 6.3798
Ac 5.6437 4.1147 5.6776
Tl 2.8144 10.3301 5.9591
Tl 2.8234 6.1400 5.9468
Tl 2.8236 1.8784 0.0029
Tl 5.6531 10.4758 8.8597
Tl 5.6533 6.2142 2.9159
Tl 5.6623 2.0241 2.9035
Cd 0.0032 4.1189 0.0000
```

Energy relative to the elements: -3.668 eV/f.u.
Total magnetization: 0.00 μB per formula unit
Total energy: -0.2408 Ry/atom
Crystal system: triclinic



12.
Density functional theory data (PBE) for a relaxed structure of FeSbS2. Values from VASP.

Geometry as Quantum ESPRESSO input:
```
&SYSTEM
  ibrav = 0, nat = 8, ntyp = 3
/
ATOMIC_SPECIES
Fe 55.84 Fe.upf
Sb 121.76 Sb.upf
S 32.06 S.upf
CELL_PARAMETERS angstrom
-3.0198 3.0198 4.5591
3.0198 -3.0198 4.5591
3.0198 3.0198 -4.5591
ATOMIC_POSITIONS angstrom
Fe 0.0000 0.0000 0.0000
Fe 0.0000 3.0198 2.2795
Sb 3.0198 0.0000 2.2795
Sb 0.0000 0.0000 4.5591
S 4.5297 0.9608 -1.1398
S 0.9608 1.5099 1.1398
S -1.5099 2.0590 3.4193
S 2.0590 1.5099 5.6988
```

Formation energy without anion corrections: 0.01 eV/atom
Total magnetization: 0.00 μB per formula unit
Total energy: -0.3819 Ry/atom
Crystal system: tetragonal



13.
Density functional theory data (PBE) for a relaxed structure of KIn2P. Values from VASP.

Geometry as Quantum ESPRESSO input:
```
&SYSTEM
  ibrav = 0, nat = 4, ntyp = 3
/
ATOMIC_SPECIES
K 39.10 K.upf
In 114.82 In.upf
P 30.97 P.upf
CELL_PARAMETERS angstrom
4.5830 0.0000 0.0000
0.0000 4.5983 0.0000
0.0000 0.0000 4.9178
ATOMIC_POSITIONS angstrom
K 0.0000 0.0000 0.0000
In 0.0000 2.2992 2.4589
In 2.2915 0.0000 2.4589
P 2.2915 2.2992 0.0000
```

Energy relative to the elements: 0.442 eV/f.u.
Total magnetization: 0.00 μB per formula unit
Total energy: -0.2121 Ry/atom
Crystal system: orthorhombic



14.
Density functional theory data (PBE) for a relaxed structure of BaSi2GeS8. Values from VASP.

Geometry as Quantum ESPRESSO input:
```
&SYSTEM
  ibrav = 0, nat = 12, ntyp = 4
/
ATOMIC_SPECIES
Ba 137.33 Ba.upf
Si 28.09 Si.upf
Ge 72.64 Ge.upf
S 32.06 S.upf
CELL_PARAMETERS angstrom
5.9177 0.0000 0.0000
-2.9588 5.1249 0.0000
0.0000 0.0000 8.9400
ATOMIC_POSITIONS angstrom
Ba 0.0000 0.0000 0.0000
Si 0.0000 3.4166 6.5407
Si 2.9588 1.7083 2.3992
Ge 0.0000 0.0000 4.4700
S -1.9378 3.5238 2.9464
S 0.8760 1.6847 2.9464
S 1.8970 0.0837 5.9936
S 0.0000 3.4166 8.6541
S 2.9588 1.7083 0.2859
S 1.0618 5.0412 2.9464
S 2.0828 3.4401 5.9936
S 4.8967 1.6010 5.9936
```

Formation energy without anion corrections: -0.55 eV/atom
Total magnetization: 0.71 μB per formula unit
Total energy: -0.3488 Ry/atom
Crystal system: trigonal



15.
Density functional theory data (PBE) for a relaxed structure of Ta2AlTl. Values from VASP.

Geometry as Quantum ESPRESSO input:
```
&SYSTEM
  ibrav = 0, nat = 4, ntyp = 3
/
ATOMIC_SPECIES
Ta 180.95 Ta.upf
Al 26.98 Al.upf
Tl 204.38 Tl.upf
CELL_PARAMETERS angstrom
0.0000 3.3556 3.3556
3.3556 0.0000 3.3556
3.3556 3.3556 0.0000
ATOMIC_POSITIONS angstrom
Ta 0.0000 0.0000 0.0000
Ta 1.6778 1.6778 1.6778
Al 5.0334 5.0334 5.0334
Tl 3.3556 3.3556 3.3556
```

Energy relative to the elements: 2.253 eV/f.u.
Total magnetization: 0.00 μB per formula unit
Total energy: -0.5064 Ry/atom
Crystal system: cubic



16.
Density functional theory data (PBE) for a relaxed structure of Sm9Dy4Pu. Values from VASP.

Geometry as Quantum ESPRESSO input:
```
&SYSTEM
  ibrav = 0, nat = 28, ntyp = 3
/
ATOMIC_SPECIES
Sm 150.36 Sm.upf
Dy 162.50 Dy.upf
Pu 244.00 Pu.upf
CELL_PARAMETERS angstrom
9.8257 0.0000 0.0000
-4.9129 8.5093 0.0000
0.0000 0.0000 11.1755
ATOMIC_POSITIONS angstrom
Sm -1.9213 4.5636 2.7939
Sm 0.0000 3.5582 5.9759
Sm 0.0000 3.5582 10.7873
Sm -1.8313 6.7302 5.9759
Sm -1.8313 6.7302 10.7873
Sm 3.0815 1.7791 0.3882
Sm 3.0815 1.7791 5.1996
Sm 1.9213 4.5636 2.7939
Sm 0.0000 7.8914 2.7939
Sm 4.9129 0.6180 8.3816
Sm 2.9916 3.9457 8.3816
Sm 1.8313 6.7302 5.9759
Sm 1.8313 6.7302 10.7873
Sm 6.7442 1.7791 0.3882
Sm 6.7442 1.7791 5.1996
Sm 4.9129 4.9511 0.3882
Sm 4.9129 4.9511 5.1996
Sm 6.8341 3.9457 8.3816
Dy 0.0000 0.0000 0.0000
Dy 0.0000 0.0000 5.5877
Dy 0.0000 1.9028 2.7939
Dy -3.2650 7.5579 2.7939
Dy 1.6478 0.9514 8.3816
Dy 3.2650 7.5579 2.7939
Dy 8.1779 0.9514 8.3816
Dy 4.9129 6.6065 8.3816
Pu 0.0000 5.6729 8.3816
Pu 4.9129 2.8364 2.7939
```

Energy relative to the elements: 2.365 eV/f.u.
Total magnetization: 5.62 μB per formula unit
Total energy: -0.3824 Ry/atom
Crystal system: hexagonal



17.
Density functional theory data (PBE) for a relaxed structure of Mg2ReMo. Values from VASP.

Geometry as Quantum ESPRESSO input:
```
&SYSTEM
  ibrav = 0, nat = 4, ntyp = 3
/
ATOMIC_SPECIES
Mg 24.30 Mg.upf
Re 186.21 Re.upf
Mo 95.94 Mo.upf
CELL_PARAMETERS angstrom
2.7616 0.0000 0.0000
0.0000 4.4682 0.0000
-0.9213 0.0000 5.4662
ATOMIC_POSITIONS angstrom
Mg 0.0000 0.0000 0.0000
Mg 0.0528 2.2341 4.0633
Re 1.0664 0.0000 2.6023
Mo 1.7268 2.2341 1.4884
```

Excess energy over the best structure of this formula in the dataset: 0.084 eV per atom
Energy relative to the elements: 0.827 eV/f.u.
Total magnetization: 0.00 μB per formula unit
Total energy: -0.4711 Ry/atom
Crystal system: monoclinic



18.
Density functional theory data (PBE) for a relaxed structure of Nd2MnCrN5. Values from VASP.

Geometry as Quantum ESPRESSO input:
```
&SYSTEM
  ibrav = 0, nat = 18, ntyp = 4
/
ATOMIC_SPECIES
Nd 144.24 Nd.upf
Mn 54.94 Mn.upf
Cr 52.00 Cr.upf
N 14.01 N.upf
CELL_PARAMETERS angstrom
1.6438 -6.9909 0.0000
1.6438 6.9909 0.0000
0.0000 0.0000 9.8650
ATOMIC_POSITIONS angstrom
Nd 1.6438 5.2420 4.9325
Nd 1.6438 5.1262 1.3317
Nd 1.6438 -5.1262 6.2642
Nd 1.6438 -5.2420 0.0000
Mn 1.6438 4.0915 8.3359
Mn 1.6438 -4.0915 3.4034
Cr 1.6438 0.9184 2.6931
Cr 1.6438 -0.9183 7.6256
N 1.6438 6.2470 8.4648
N 1.6438 2.8596 4.6743
N 1.6438 2.6145 2.0699
N 1.6438 2.2051 8.1640
N 1.6438 0.0781 1.2142
N 1.6438 -0.0781 6.1466
N 1.6438 -2.2051 3.2315
N 1.6438 -2.6145 7.0024
N 1.6438 -2.8596 9.6067
N 1.6438 -6.2470 3.5323
```

Formation energy without anion corrections: -0.77 eV/atom
Total magnetization: 2.00 μB per formula unit
Total energy: -0.6282 Ry/atom
Crystal system: orthorhombic



19.
Density functional theory data (PBE) for a relaxed structure of Ho4Sn2Ru. Values from VASP.

Geometry as Quantum ESPRESSO input:
```
&SYSTEM
  ibrav = 0, nat = 7, ntyp = 3
/
ATOMIC_SPECIES
Ho 164.93 Ho.upf
Sn 118.71 Sn.upf
Ru 101.07 Ru.upf
CELL_PARAMETERS angstrom
5.5690 -2.3396 0.0000
5.5690 2.3396 0.0000
-5.0089 0.0000 7.0728
ATOMIC_POSITIONS angstrom
Ho -1.0475 0.0000 2.5335
Ho -1.0417 0.0000 6.7066
Ho 7.1707 0.0000 0.3661
Ho 7.1765 0.0000 4.5392
Sn 2.1020 0.0000 2.2797
Sn 4.0270 0.0000 4.7931
Ru 0.0000 0.0000 0.0000
```

Energy relative to the elements: -4.071 eV/f.u.
Total magnetization: 0.00 μB per formula unit
Total energy: -0.4165 Ry/atom
Crystal system: monoclinic